Entry 1:
ScPa2MnN4 PBE relaxed; ΔE_f (raw) = -1.18 eV/atom; SG = Imma (74); calculated total energy = -0.709 Ry/atom
1.0
-3.180 3.383 4.599
3.180 -3.383 4.599
3.180 3.383 -4.599
Sc Pa Mn N
2 4 2 8
Cartesian
-1.590 1.692 2.300
1.590 1.692 2.300
0.000 0.000 0.000
1.590 1.692 -2.300
1.590 -1.692 2.300
0.000 3.383 0.000
3.180 0.000 0.000
0.000 0.000 4.599
1.758 1.692 0.061
4.601 1.692 0.061
3.180 0.116 2.209
0.000 0.116 2.390
3.180 3.268 2.209
0.000 3.268 2.390
-1.422 1.692 4.538
1.422 1.692 4.538



Entry 2:
K2ZnI2 PBE relaxed; ΔE_f (raw) = -0.87 eV/atom; SG = I4/mmm (139); calculated total energy = -0.161 Ry/atom
1.0
-3.329 3.329 6.626
3.329 -3.329 6.626
3.329 3.329 -6.626
K Zn I
2 1 2
Cartesian
3.329 0.000 3.313
0.000 3.329 3.313
0.000 0.000 0.000
0.000 0.000 4.236
0.000 0.000 9.016



Entry 3:
Ac4CdRhI2 PBE relaxed; ΔE_f (raw) = -0.77 eV/atom; SG = P2/m (10); calculated total energy = -0.312 Ry/atom
1.0
8.242 0.000 0.000
0.000 4.400 0.000
-2.644 0.000 8.680
Ac Cd Rh I
4 1 1 2
Cartesian
1.283 0.000 1.635
-0.297 2.200 6.952
5.896 2.200 1.728
4.315 0.000 7.045
4.121 0.000 0.000
0.000 2.200 0.000
-1.322 0.000 4.340
2.799 2.200 4.340



Entry 4:
Pm3Zn3Pt8 PBE relaxed; calculated formation energy = -778.6 meV/atom; SG = Immm (71); calculated total energy = -0.406 Ry/atom
1.0
-2.160 4.835 6.459
2.160 -4.835 6.459
2.160 4.835 -6.459
Pm Zn Pt
3 3 8
Cartesian
0.000 0.000 0.000
0.000 0.000 3.883
0.000 0.000 9.035
2.160 2.650 0.000
0.000 4.835 0.000
0.000 2.186 6.459
2.160 -1.337 2.261
2.160 -2.018 4.999
2.160 1.337 2.261
0.000 2.817 1.460
2.160 2.018 4.999
0.000 3.498 4.197
0.000 6.853 1.460
0.000 6.173 4.197



Entry 5:
Pr6DyHo2 PBE relaxed; calculated formation energy = 127.8 meV/atom; SG = Cmmm (65); calculated total energy = -0.337 Ry/atom
1.0
4.743 -8.932 0.000
4.743 8.932 0.000
0.000 0.000 3.687
Pr Dy Ho
6 1 2
Cartesian
1.663 2.958 0.000
1.744 0.000 1.843
1.663 -2.958 0.000
7.822 2.958 0.000
7.741 0.000 1.843
7.822 -2.958 0.000
4.743 0.000 0.000
4.743 3.142 1.843
4.743 -3.142 1.843



Entry 6:
NdDy3Cd2 PBE relaxed; calculated formation energy = -203.3 meV/atom; SG = P4/mmm (123); calculated total energy = -0.265 Ry/atom
1.0
3.684 0.000 0.000
0.000 3.684 0.000
0.000 0.000 12.693
Nd Dy Cd
1 3 2
Cartesian
0.000 0.000 0.000
1.842 1.842 2.515
1.842 1.842 6.347
1.842 1.842 10.178
0.000 0.000 4.438
0.000 0.000 8.256



Entry 7:
La2Sn2Mo PBE relaxed; calculated formation energy = -255.8 meV/atom; SG = P4/mbm (127); calculated total energy = -0.441 Ry/atom
1.0
7.621 0.000 0.000
0.000 7.621 0.000
0.000 0.000 4.838
La Sn Mo
4 4 2
Cartesian
1.307 2.503 0.000
2.503 6.313 0.000
5.118 1.307 0.000
6.313 5.118 0.000
1.058 4.869 2.419
2.752 1.058 2.419
4.869 6.562 2.419
6.562 2.752 2.419
0.000 0.000 2.419
3.810 3.810 2.419



Entry 8:
K2LiSe PBE relaxed; ΔE_f (raw) = -0.84 eV/atom; SG = Cm (8); calculated total energy = -0.201 Ry/atom
1.0
3.831 -2.213 0.000
3.831 2.213 0.000
-2.628 0.000 8.814
K Li Se
2 1 1
Cartesian
0.000 0.000 0.000
0.001 0.000 4.759
2.557 0.000 2.381
5.110 0.000 2.384



Entry 9:
RbAlSeBr2 PBE relaxed; ΔE_f (raw) = 0.17 eV/atom; SG = P4/mmm (123); calculated total energy = -0.157 Ry/atom
1.0
6.412 0.000 0.000
0.000 6.412 0.000
0.000 0.000 6.215
Rb Al Se Br
1 1 1 2
Cartesian
0.000 0.000 0.000
3.206 3.206 3.107
0.000 0.000 3.107
0.000 3.206 0.000
3.206 0.000 0.000



Entry 10:
NbVC PBE relaxed; calculated formation energy = -404.9 meV/atom; SG = P3m1 (156); calculated total energy = -0.726 Ry/atom
1.0
3.038 0.000 0.000
-1.519 2.631 0.000
0.000 0.000 4.769
Nb V C
1 1 1
Cartesian
0.000 0.000 0.000
1.519 0.877 2.380
0.000 1.754 3.448



Entry 11:
CsTiAs PBE relaxed; calculated formation energy = -577.7 meV/atom; SG = P4/nmm (129); calculated total energy = -0.371 Ry/atom
1.0
4.321 0.000 0.000
0.000 4.321 0.000
0.000 0.000 12.355
Cs Ti As
2 2 2
Cartesian
1.080 1.080 2.586
3.240 3.240 9.769
1.080 3.240 6.177
3.240 1.080 6.177
1.080 1.080 7.573
3.240 3.240 4.782



Entry 12:
BaAcPtRh PBE relaxed; calculated formation energy = -657.9 meV/atom; SG = P3m1 (156); calculated total energy = -0.405 Ry/atom
1.0
4.817 0.000 0.000
-2.409 4.172 0.000
0.000 0.000 5.824
Ba Ac Pt Rh
1 1 1 1
Cartesian
0.000 0.000 0.000
2.409 1.391 2.984
0.000 2.781 1.518
0.000 2.781 4.338



Entry 13:
TeOsRuS2 PBE relaxed; ΔE_f (raw) = 1.21 eV/atom; SG = P4/mmm (123); calculated total energy = -0.380 Ry/atom
1.0
4.404 0.000 0.000
0.000 4.404 0.000
0.000 0.000 5.641
Te Os Ru S
1 1 1 2
Cartesian
0.000 0.000 0.000
2.202 2.202 0.000
0.000 0.000 2.821
0.000 2.202 2.821
2.202 0.000 2.821



Entry 14:
Ce4InC PBE relaxed; calculated formation energy = -168.1 meV/atom; SG = P-1 (2); calculated total energy = -0.450 Ry/atom
1.0
5.831 0.000 0.000
-0.012 6.708 0.000
-2.907 -1.735 7.118
Ce In C
8 2 2
Cartesian
-0.403 2.891 1.374
0.388 6.242 1.374
-0.682 4.789 4.380
0.675 1.436 4.374
2.236 3.537 2.744
3.593 0.183 2.739
2.523 -1.269 5.744
3.314 2.081 5.744
2.578 1.680 0.001
0.333 3.293 7.118
-1.460 2.486 3.559
1.462 -0.868 3.559



Entry 15:
Mo2RuBr PBE relaxed; ΔE_f (raw) = 0.86 eV/atom; SG = Cmmm (65); calculated total energy = -0.536 Ry/atom
1.0
2.591 -4.226 0.000
2.591 4.226 0.000
0.000 0.000 2.940
Mo Ru Br
2 1 1
Cartesian
1.296 2.113 0.000
1.296 -2.113 0.000
0.000 0.000 1.470
2.591 0.000 1.470



Entry 16:
CSe2Cl PBE relaxed; ΔE_f (raw) = 0.83 eV/atom; SG = I-42d (122); calculated total energy = -0.270 Ry/atom
1.0
-3.201 3.201 3.820
3.201 -3.201 3.820
3.201 3.201 -3.820
C Se Cl
2 4 2
Cartesian
0.000 0.000 0.000
0.000 3.201 1.910
4.802 0.895 -0.955
0.895 1.601 0.955
-1.601 2.306 2.865
2.306 1.601 4.775
3.201 0.000 1.910
0.000 0.000 3.820



Entry 17:
Tl2CrCo PBE relaxed; calculated formation energy = 691.7 meV/atom; SG = Cmmm (65); calculated total energy = -0.344 Ry/atom
1.0
3.124 -3.468 0.000
3.124 3.468 0.000
0.000 0.000 3.404
Tl Cr Co
2 1 1
Cartesian
1.562 1.734 0.000
1.562 -1.734 0.000
0.000 0.000 1.702
3.124 0.000 1.702



Entry 18:
Rb2In2Te4Pb PBE relaxed; ΔE_f (raw) = -0.56 eV/atom; SG = C2/m (12); calculated total energy = -0.234 Ry/atom
1.0
8.518 -2.714 0.000
8.518 2.714 0.000
-2.513 0.000 7.894
Rb In Te Pb
2 2 4 1
Cartesian
2.036 0.000 0.534
12.487 0.000 7.360
4.497 0.000 3.638
10.026 0.000 4.257
1.771 0.000 5.353
6.335 0.000 5.861
8.188 0.000 2.033
12.752 0.000 2.541
-1.257 0.000 3.947



Entry 19:
Mg2MnPPd PBE relaxed; calculated formation energy = 51.2 meV/atom; SG = P4/mmm (123); calculated total energy = -0.334 Ry/atom
1.0
4.775 0.000 0.000
0.000 4.775 0.000
0.000 0.000 4.365
Mg Mn P Pd
2 1 1 1
Cartesian
0.000 2.387 0.000
2.387 0.000 0.000
0.000 0.000 2.182
0.000 0.000 0.000
2.387 2.387 2.182



Entry 20:
CsSr2Cd2 PBE relaxed; calculated formation energy = -60.8 meV/atom; SG = I4/mmm (139); calculated total energy = -0.093 Ry/atom
1.0
-2.897 2.897 7.000
2.897 -2.897 7.000
2.897 2.897 -7.000
Cs Sr Cd
1 2 2
Cartesian
0.000 0.000 0.000
2.897 0.000 3.500
0.000 2.897 3.500
0.000 0.000 5.517
0.000 0.000 8.484



Entry 21:
CeErTlO2 PBE relaxed; ΔE_f (raw) = -2.44 eV/atom; SG = I4mm (107); calculated total energy = -0.514 Ry/atom
1.0
-1.957 1.957 6.687
1.957 -1.957 6.687
1.957 1.957 -6.687
Ce Er Tl O
1 1 1 2
Cartesian
0.000 0.000 0.000
0.000 0.000 8.967
0.000 0.000 4.577
1.957 0.000 1.219
0.000 1.957 1.219



Entry 22:
BaSbSe2 PBE relaxed; ΔE_f (raw) = -1.03 eV/atom; SG = P1 (1); calculated total energy = -0.315 Ry/atom
1.0
6.038 0.000 0.000
0.070 6.206 0.000
0.018 0.001 7.679
Ba Sb Se
2 2 4
Cartesian
0.000 0.000 0.000
2.991 3.109 7.671
1.436 2.996 3.834
1.555 0.071 3.837
6.086 3.092 6.037
2.945 0.010 1.633
2.958 0.009 6.031
6.072 3.092 1.640



Entry 23:
GeAsCl2 PBE relaxed; ΔE_f (raw) = 0.16 eV/atom; SG = I-42d (122); calculated total energy = -0.227 Ry/atom
1.0
-3.822 3.822 3.103
3.822 -3.822 3.103
3.822 3.822 -3.103
Ge As Cl
2 2 4
Cartesian
0.000 0.000 0.000
0.000 3.822 1.552
3.822 0.000 1.552
0.000 0.000 3.103
5.734 1.869 -0.776
1.869 1.911 0.776
-1.911 1.954 2.327
1.954 1.911 3.879



Entry 24:
DyV2Cl8 PBE relaxed; ΔE_f (raw) = -1.42 eV/atom; SG = C2/m (12); calculated total energy = -0.356 Ry/atom
1.0
6.122 -4.862 0.000
6.122 4.862 0.000
-0.333 0.000 6.290
Dy V Cl
1 2 8
Cartesian
0.000 0.000 0.000
2.348 0.000 4.046
9.563 0.000 2.244
4.789 3.104 1.494
2.053 0.000 1.707
7.122 3.104 4.796
4.367 0.000 4.902
7.544 0.000 1.388
4.789 -3.104 1.494
9.858 0.000 4.583
7.122 -3.104 4.796



Entry 25:
EuErHg4 PBE relaxed; calculated formation energy = -225.9 meV/atom; SG = F-43m (216); calculated total energy = -0.213 Ry/atom
1.0
0.000 4.256 4.256
4.256 0.000 4.256
4.256 4.256 0.000
Eu Er Hg
1 1 4
Cartesian
0.000 0.000 0.000
2.128 2.128 2.128
5.318 3.194 3.194
3.194 5.318 3.194
3.194 3.194 5.318
5.318 5.318 5.318